## RePbN2 (PBE-GGA)

Data for a geometry-optimized RePbN2 structure.

The structure belongs to space group R-3m (No. 166, hexagonal axes); the cell edges are 3.0723, 3.0723 and 21.5466 Å and the angles 90.00°, 90.00° and 120.00°. The asymmetric unit holds Re at (0.0000, 0.0000, 0.0000), Pb at (0.0000, 0.0000, 0.5000) and N at (0.0000, 0.0000, 0.3847).

The calculation puts the magnetization at 0.00 Bohr magnetons per cell. The calculation puts the electronic total energy at -31.1 eV per formula unit.